# MgMn2AsO6 PBE+U relaxed
# electronic total energy = -6.82 eV/atom
# total magnetic moment = 0.9000 μB/atom
# symmetry = P1 (1)
data_MgMn2AsO6
_cell_length_a 5.2331
_cell_length_b 5.0888
_cell_length_c 5.6238
_cell_angle_alpha 61.75
_cell_angle_beta 60.58
_cell_angle_gamma 59.62
_symmetry_space_group_name_H-M 'P 1'
_symmetry_Int_Tables_number 1
_symmetry_space_group_name_Hall 'P 1'
loop_
_atom_site_label
_atom_site_type_symbol
_atom_site_fract_x
_atom_site_fract_y
_atom_site_fract_z
As1 As 0.3275 0.3156 0.0283
O1 O 0.9743 0.5910 0.2355
Mn1 Mn 0.5340 0.5317 0.4022
O2 O 0.6855 0.1186 0.7724
Mg1 Mg 0.8128 0.8001 0.5829
O3 O 0.5920 0.2103 0.2222
O4 O 0.4057 0.7053 0.7742
Mn2 Mn 0.0151 0.0096 0.9582
O5 O 0.2014 0.9741 0.2569
O6 O 0.1134 0.4055 0.7824